(1)
The following is a GGA-PBEsol calculation of a geometry-optimized AuCBr2 structure, from Alexandria.

Geometry as POSCAR:
```
AuCBr2
1.0
5.297 0.000 0.000
0.000 5.297 0.000
-2.648 -2.648 6.431
C Au Br
2 2 4
direct
0.750 0.250 0.500
0.500 0.500 0.000
0.250 0.750 0.500
0.000 0.000 0.000
0.441 0.875 0.250
0.809 0.375 0.250
0.125 0.191 0.750
0.625 0.559 0.750
```

Properties
- Formation energy from raw total energies: 1.486 eV/atom
- Magnetic moment: 0.0 μB per cell

---

(2)
The following is a GGA-PBEsol calculation of a geometry-optimized AuCSe2Br structure, from Alexandria.

Geometry as POSCAR:
```
AuCSe2Br
1.0
-2.283 -3.323 0.112
1.466 -0.883 3.652
-5.108 3.608 2.923
C Au Se Br
1 1 2 1
direct
0.000 0.000 0.000
0.500 0.500 0.500
0.000 0.500 0.000
0.500 0.000 0.000
0.000 0.000 0.500
```

Properties
- Formation energy from raw total energies: 1.166 eV/atom
- Magnetic moment: 0.0 μB per cell

---

(3)
The following is a GGA-PBEsol calculation of a geometry-optimized CaAu3Br structure, from Alexandria.

Geometry as POSCAR:
```
CaAu3Br
1.0
-2.976 3.139 -2.645
2.599 -1.089 -4.216
-3.178 -3.830 -0.970
Ca Au Br
1 3 1
direct
0.500 0.500 0.500
0.000 0.500 0.000
0.000 0.000 0.500
0.500 0.000 0.000
0.000 0.000 0.000
```

Properties
- Formation energy from raw total energies: 0.454 eV/atom
- Magnetic moment: 0.0 μB per cell

---

(4)
The following is a GGA-PBEsol calculation of a geometry-optimized CaAu2SBr structure, from Alexandria.

Geometry as POSCAR:
```
CaAu2SBr
1.0
5.248 0.000 0.000
0.000 5.449 0.000
0.000 0.000 5.449
Ca Au S Br
1 2 1 1
direct
0.000 0.000 0.000
0.000 0.000 0.500
0.000 0.500 0.000
0.500 0.500 0.500
0.500 0.000 0.000
```

Properties
- Formation energy from raw total energies: 0.664 eV/atom
- Magnetic moment: 1.8 μB per cell

---

(5)
The following is a GGA-PBEsol calculation of a geometry-optimized Ca2AuSeBr structure, from Alexandria.

Geometry as POSCAR:
```
Ca2AuSeBr
1.0
5.444 0.000 0.000
0.000 5.444 0.000
0.000 0.000 5.445
Ca Au Se Br
2 1 1 1
direct
0.000 0.500 0.000
0.500 0.000 0.000
0.500 0.500 0.500
0.000 0.000 0.000
0.000 0.000 0.500
```

Properties
- Formation energy from raw total energies: -0.528 eV/atom
- Magnetic moment: 0.0 μB per cell

---

(6)
The following is a GGA-PBEsol calculation of a geometry-optimized Cd3AuBr structure, from Alexandria.

Geometry as POSCAR:
```
Cd3AuBr
1.0
5.227 0.000 0.000
0.000 5.227 0.000
0.000 0.000 5.227
Au Br Cd
1 1 3
direct
0.000 0.000 0.000
0.500 0.500 0.500
0.000 0.500 0.000
0.000 0.000 0.500
0.500 0.000 0.000
```

Properties
- Formation energy from raw total energies: -0.052 eV/atom
- Magnetic moment: 0.0 μB per cell